A relaxed Pm12As5Rh3 crystal, computed with PBE-GGA.

* density of states at the Fermi level: 21.16 states/eV/f.u.
* M_tot: 0.00 μB per formula unit
* total energy: -5.67 eV per atom
* volume: 31.22 Å³/atom
* space group: Ia-3d

Unit cell a=14.8040 b=14.8040 c=14.8040 alpha=109.47 beta=109.47 gamma=109.47
Last column: nearest neighbours and their distance in Å.
Fractional positions:
1 Pm 0.0557 0.2269 0.1279  2 As 2.80-2.90, 1 Rh 3.00
2 Pm 0.0557 0.3288 0.9278  2 As 2.80-2.90, 1 Rh 3.00
3 Pm 0.0722 0.6279 0.4009  2 As 2.80-2.90, 1 Rh 3.00
4 Pm 0.0722 0.9443 0.6712  2 As 2.80-2.90, 1 Rh 3.00
5 Pm 0.0991 0.7269 0.6712  2 As 2.80-2.90, 1 Rh 3.00
6 Pm 0.0991 0.8721 0.4278  2 As 2.80-2.90, 1 Rh 3.00
7 Pm 0.1279 0.0557 0.2269  2 As 2.80-2.90, 1 Rh 3.00
8 Pm 0.1279 0.5722 0.9009  2 As 2.80-2.90, 1 Rh 3.00
9 Pm 0.1712 0.2269 0.5991  2 As 2.80-2.90, 1 Rh 3.00
10 Pm 0.1712 0.4443 0.5722  2 As 2.80-2.90, 1 Rh 3.00
11 Pm 0.2269 0.1279 0.0557  2 As 2.80-2.90, 1 Rh 3.00
12 Pm 0.2269 0.5991 0.1712  2 As 2.80-2.90, 1 Rh 3.00
13 Pm 0.2731 0.3288 0.9009  2 As 2.80-2.90, 1 Rh 3.00
14 Pm 0.2731 0.4443 0.3721  2 As 2.80-2.90, 1 Rh 3.00
15 Pm 0.3288 0.9009 0.2731  2 As 2.80-2.90, 1 Rh 3.00
16 Pm 0.3288 0.9278 0.0557  2 As 2.80-2.90, 1 Rh 3.00
17 Pm 0.3721 0.2731 0.4443  2 As 2.80-2.90, 1 Rh 3.00
18 Pm 0.3721 0.5991 0.9278  2 As 2.80-2.90, 1 Rh 3.00
19 Pm 0.4009 0.0722 0.6279  2 As 2.80-2.90, 1 Rh 3.00
20 Pm 0.4009 0.8288 0.7731  2 As 2.80-2.90, 1 Rh 3.00
21 Pm 0.4278 0.0991 0.8721  2 As 2.80-2.90, 1 Rh 3.00
22 Pm 0.4278 0.8288 0.5557  2 As 2.80-2.90, 1 Rh 3.00
23 Pm 0.4443 0.3721 0.2731  2 As 2.80-2.90, 1 Rh 3.00
24 Pm 0.4443 0.5722 0.1712  2 As 2.80-2.90, 1 Rh 3.00
25 Pm 0.5557 0.4278 0.8288  2 As 2.80-2.90, 1 Rh 3.00
26 Pm 0.5557 0.6279 0.7269  2 As 2.80-2.90, 1 Rh 3.00
27 Pm 0.5722 0.1712 0.4443  2 As 2.80-2.90, 1 Rh 3.00
28 Pm 0.5722 0.9009 0.1279  2 As 2.80-2.90, 1 Rh 3.00
29 Pm 0.5991 0.1712 0.2269  2 As 2.80-2.90, 1 Rh 3.00
30 Pm 0.5991 0.9278 0.3721  2 As 2.80-2.90, 1 Rh 3.00
31 Pm 0.6279 0.4009 0.0722  2 As 2.80-2.90, 1 Rh 3.00
32 Pm 0.6279 0.7269 0.5557  2 As 2.80-2.90, 1 Rh 3.00
33 Pm 0.6712 0.0722 0.9443  2 As 2.80-2.90, 1 Rh 3.00
34 Pm 0.6712 0.0991 0.7269  2 As 2.80-2.90, 1 Rh 3.00
35 Pm 0.7269 0.5557 0.6279  2 As 2.80-2.90, 1 Rh 3.00
36 Pm 0.7269 0.6712 0.0991  2 As 2.80-2.90, 1 Rh 3.00
37 Pm 0.7731 0.4009 0.8288  2 As 2.80-2.90, 1 Rh 3.00
38 Pm 0.7731 0.8721 0.9443  2 As 2.80-2.90, 1 Rh 3.00
39 Pm 0.8288 0.5557 0.4278  2 As 2.80-2.90, 1 Rh 3.00
40 Pm 0.8288 0.7731 0.4009  2 As 2.80-2.90, 1 Rh 3.00
41 Pm 0.8721 0.4278 0.0991  2 As 2.80-2.90, 1 Rh 3.00
42 Pm 0.8721 0.9443 0.7731  2 As 2.80-2.90, 1 Rh 3.00
43 Pm 0.9009 0.1279 0.5722  2 As 2.80-2.90, 1 Rh 3.00
44 Pm 0.9009 0.2731 0.3288  2 As 2.80-2.90, 1 Rh 3.00
45 Pm 0.9278 0.0557 0.3288  2 As 2.80-2.90, 1 Rh 3.00
46 Pm 0.9278 0.3721 0.5991  2 As 2.80-2.90, 1 Rh 3.00
47 Pm 0.9443 0.6712 0.0722  2 As 2.80-2.90, 1 Rh 3.00
48 Pm 0.9443 0.7731 0.8721  2 As 2.80-2.90, 1 Rh 3.00
49 As 0.0000 0.0000 0.0000  6 Pm 2.90
50 As 0.0000 0.0000 0.5000  6 Pm 2.90
51 As 0.0000 0.5000 0.0000  6 Pm 2.90
52 As 0.0000 0.5000 0.5000  6 Pm 2.90
53 As 0.1250 0.7500 0.8750  4 Pm 2.80
54 As 0.1250 0.8750 0.2500  4 Pm 2.80
55 As 0.2500 0.1250 0.8750  4 Pm 2.80
56 As 0.2500 0.6250 0.3750  4 Pm 2.80
57 As 0.3750 0.2500 0.6250  4 Pm 2.80
58 As 0.3750 0.6250 0.7500  4 Pm 2.80
59 As 0.5000 0.0000 0.0000  6 Pm 2.90
60 As 0.5000 0.0000 0.5000  6 Pm 2.90
61 As 0.5000 0.5000 0.0000  6 Pm 2.90
62 As 0.5000 0.5000 0.5000  6 Pm 2.90
63 As 0.6250 0.3750 0.2500  4 Pm 2.80
64 As 0.6250 0.7500 0.3750  4 Pm 2.80
65 As 0.7500 0.3750 0.6250  4 Pm 2.80
66 As 0.7500 0.8750 0.1250  4 Pm 2.80
67 As 0.8750 0.1250 0.7500  4 Pm 2.80
68 As 0.8750 0.2500 0.1250  4 Pm 2.80
69 Rh 0.1250 0.2500 0.3750  8 Pm 3.00-3.31
70 Rh 0.1250 0.3750 0.7500  8 Pm 3.00-3.31
71 Rh 0.2500 0.3750 0.1250  8 Pm 3.00-3.31
72 Rh 0.2500 0.8750 0.6250  8 Pm 3.00-3.31
73 Rh 0.3750 0.1250 0.2500  8 Pm 3.00-3.31
74 Rh 0.3750 0.7500 0.1250  8 Pm 3.00-3.31
75 Rh 0.6250 0.2500 0.8750  8 Pm 3.00-3.31
76 Rh 0.6250 0.8750 0.7500  8 Pm 3.00-3.31
77 Rh 0.7500 0.1250 0.3750  8 Pm 3.00-3.31
78 Rh 0.7500 0.6250 0.8750  8 Pm 3.00-3.31
79 Rh 0.8750 0.6250 0.2500  8 Pm 3.00-3.31
80 Rh 0.8750 0.7500 0.6250  8 Pm 3.00-3.31